## LiFe2O2F3 (PBE+U)

Data for an optimized crystal structure of LiFe2O2F3.

Computed properties:
Distance to the lowest polymorph of the same formula ... 3 meV/atom
Total magnetization ... 20.000 μB per cell

abc: 5.380 5.380 10.237
angles: 90.42 90.42 41.85
Fractional positions:
Li  0.132  0.132  0.058
Li  0.868  0.868  0.942
Fe  0.138  0.138  0.453
Fe  0.182  0.182  0.749
Fe  0.818  0.818  0.251
Fe  0.862  0.862  0.547
O  0.042  0.042  0.620
O  0.303  0.303  0.581
O  0.697  0.697  0.419
O  0.958  0.958  0.380
F  0.051  0.051  0.884
F  0.265  0.265  0.256
F  0.308  0.308  0.901
F  0.692  0.692  0.099
F  0.735  0.735  0.744
F  0.949  0.949  0.116